Record 1
## CaBeAgPb2 (SCAN)

Data for a PBEsol-optimized structure of CaBeAgPb2.

The formation energy is 0.221 eV/atom. Its density of states at the Fermi level is 2.2 states/eV/cell.

a b c (Å): 4.860 4.860 5.318
angles (deg): 90.00 90.00 90.00
Space group P4/mmm (No. 123)
Unique sites:
Ca 0.000 0.000 0.000 x1
Be 0.000 0.000 0.500 x1
Ag 0.500 0.500 0.000 x1
Pb 0.000 0.500 0.500 x2

Record 2
## AlCr3 (SCAN)

Data for a PBEsol-optimized structure of AlCr3.

The formation energy is -0.276 eV/atom. Its density of states at the Fermi level is 3.2 states/eV/cell.

a b c (Å): 5.824 5.824 5.824
angles (deg): 90.00 90.00 90.00
Space group Fm-3m (No. 225)
Unique sites:
Al 0.000 0.000 0.000 x4
Cr 0.000 0.000 0.500 x4
Cr 0.250 0.250 0.250 x8

Record 3
## MnRh3 (SCAN)

Data for a PBEsol-optimized structure of MnRh3.

The formation energy is -0.187 eV/atom. Its density of states at the Fermi level is 9.6 states/eV/cell.

a b c (Å): 4.226 5.313 4.603
angles (deg): 90.00 90.00 90.00
Space group Pmmn (No. 59, origin choice 2)
Unique sites:
Mn 0.250 0.250 0.170 x2
Rh 0.250 0.001 0.670 x4
Rh 0.250 0.750 0.161 x2

Record 4
## BiRuI2O (SCAN)

Data for a PBEsol-optimized structure of BiRuI2O.

The uncorrected formation energy comes out at -0.04 eV per atom. Its density of states at the Fermi level is 3.9 states/eV/cell.

a b c (Å): 5.624 5.624 3.690
angles (deg): 90.00 90.00 90.00
Space group P4/mmm (No. 123)
Unique sites:
Bi 0.000 0.000 0.000 x1
Ru 0.500 0.500 0.500 x1
I 0.000 0.500 0.500 x2
O 0.500 0.500 0.000 x1

Record 5
## Tl2HgOs (SCAN)

Data for a PBEsol-optimized structure of Tl2HgOs.

The formation energy is 0.897 eV/atom. Its density of states at the Fermi level is 1.3 states/eV/cell.

a b c (Å): 5.214 5.214 3.033
angles (deg): 90.00 90.00 90.00
Space group P4/mmm (No. 123)
Unique sites:
Tl 0.000 0.500 0.000 x2
Hg 0.000 0.000 0.500 x1
Os 0.500 0.500 0.500 x1

Record 6
## Ta2ZnAu (SCAN)

Data for a PBEsol-optimized structure of Ta2ZnAu.

The formation energy is -0.129 eV/atom. Its density of states at the Fermi level is 4.4 states/eV/cell.

a b c (Å): 3.641 4.252 8.496
angles (deg): 90.00 90.00 90.00
Space group Cmm2 (No. 35)
Unique sites:
Ta 0.000 0.000 0.000 x2
Ta 0.000 0.500 0.265 x2
Zn 0.000 0.500 0.755 x2
Au 0.000 0.000 0.520 x2

Record 7
## Na2SnH6O6 (SCAN)

Data for a PBEsol-optimized structure of Na2SnH6O6.

Its density of states at the Fermi level is 0.0 states/eV/cell.

a b c (Å): 6.4543 6.4543 11.5610
angles (deg): 90.00 90.00 120.00
Space group R-3 (No. 148, hexagonal axes)
Unique sites:
Na 0.0000 0.0000 0.1846 x6
Sn 0.0000 0.0000 0.5000 x3
H 0.0053 0.4190 0.6840 x18
O 0.0284 0.4718 0.2651 x18

Record 8
## Zn2CdRe (SCAN)

Data for a PBEsol-optimized structure of Zn2CdRe.

The formation energy is 0.310 eV/atom. Its density of states at the Fermi level is 2.3 states/eV/cell.

a b c (Å): 2.732 2.732 8.320
angles (deg): 90.00 90.00 90.00
Space group P4/mmm (No. 123)
Unique sites:
Zn 0.000 0.000 0.229 x2
Cd 0.500 0.500 0.500 x1
Re 0.500 0.500 0.000 x1

Record 9
## MnSnAsBr2 (SCAN)

Data for a PBEsol-optimized structure of MnSnAsBr2.

The uncorrected formation energy comes out at 0.27 eV per atom. Its density of states at the Fermi level is 2.4 states/eV/cell.

a b c (Å): 5.359 5.359 5.394
angles (deg): 90.00 90.00 90.00
Space group P4/mmm (No. 123)
Unique sites:
Mn 0.000 0.000 0.000 x1
Sn 0.500 0.500 0.500 x1
As 0.500 0.500 0.000 x1
Br 0.000 0.500 0.500 x2

Record 10
## YSc3 (SCAN)

Data for a PBEsol-optimized structure of YSc3.

The formation energy is 0.099 eV/atom. Its density of states at the Fermi level is 28.7 states/eV/cell.

a b c (Å): 4.650 4.650 18.567
angles (deg): 90.00 90.00 90.00
Space group I4/mmm (No. 139)
Unique sites:
Y 0.000 0.000 0.124 x4
Sc 0.000 0.000 0.374 x4
Sc 0.000 0.500 0.000 x4
Sc 0.000 0.500 0.250 x4

Record 11
## Mg2FePb (SCAN)

Data for a PBEsol-optimized structure of Mg2FePb.

The formation energy is 0.189 eV/atom. Its density of states at the Fermi level is 1.9 states/eV/cell.

a b c (Å): 3.472 3.472 6.397
angles (deg): 90.00 90.00 90.00
Space group P4mm (No. 99)
Unique sites:
Mg 0.000 0.000 0.000 x1
Mg 0.500 0.500 0.268 x1
Fe 0.500 0.500 0.794 x1
Pb 0.000 0.000 0.558 x1

Record 12
## Tc5Ru (SCAN)

Data for a PBEsol-optimized structure of Tc5Ru.

The formation energy is 0.063 eV/atom. Its density of states at the Fermi level is 5.9 states/eV/cell.

a b c (Å): 2.698 2.698 11.451
angles (deg): 90.00 90.00 90.00
Space group P4/mmm (No. 123)
Unique sites:
Tc 0.000 0.000 0.000 x1
Tc 0.000 0.000 0.335 x2
Tc 0.500 0.500 0.167 x2
Ru 0.500 0.500 0.500 x1

Record 13
## Sr2Tl2Ir (SCAN)

Data for a PBEsol-optimized structure of Sr2Tl2Ir.

The formation energy is 0.058 eV/atom. Its density of states at the Fermi level is 3.7 states/eV/cell.

a b c (Å): 4.002 4.002 19.021
angles (deg): 90.00 90.00 90.00
Space group I4/mmm (No. 139)
Unique sites:
Sr 0.000 0.000 0.085 x4
Tl 0.000 0.500 0.250 x4
Ir 0.000 0.000 0.500 x2

Record 14
## NbSiS3 (SCAN)

Data for a PBEsol-optimized structure of NbSiS3.

The uncorrected formation energy comes out at 0.18 eV per atom. Its density of states at the Fermi level is 1.6 states/eV/cell.

a b c (Å): 4.405 4.405 4.405
angles (deg): 90.00 90.00 90.00
Space group Pm-3m (No. 221)
Unique sites:
Nb 0.000 0.000 0.000 x1
Si 0.500 0.500 0.500 x1
S 0.000 0.500 0.500 x3

Record 15
## KCdPb2 (SCAN)

Data for a PBEsol-optimized structure of KCdPb2.

The formation energy is -0.143 eV/atom. Its density of states at the Fermi level is 1.6 states/eV/cell.

a b c (Å): 3.695 4.063 8.044
angles (deg): 90.00 90.00 90.00
Space group Pmmm (No. 47)
Unique sites:
K 0.000 0.000 0.000 x1
Cd 0.000 0.000 0.500 x1
Pb 0.500 0.500 0.304 x2

Record 16
## Gd3YFe4O12 (SCAN)

Data for a PBEsol-optimized structure of Gd3YFe4O12.

The uncorrected formation energy comes out at -2.73 eV per atom. Its density of states at the Fermi level is 1.6 states/eV/cell.

a b c (Å): 5.195 7.423 5.537
angles (deg): 90.00 90.03 90.00
Space group Pm (No. 6)
Unique sites:
Gd 0.000 0.000 0.000 x1
Gd 0.032 0.500 0.143 x1
Gd 0.494 0.500 0.640 x1
Y 0.538 0.000 0.499 x1
Fe 0.016 0.249 0.571 x2
Fe 0.516 0.250 0.071 x2
O 0.118 0.000 0.595 x1
O 0.206 0.296 0.867 x2
O 0.314 0.295 0.374 x2
O 0.430 0.000 0.097 x1
O 0.603 0.500 0.050 x1
O 0.715 0.200 0.765 x2
O 0.822 0.202 0.279 x2
O 0.923 0.500 0.550 x1

Record 17
## KGaRh3 (SCAN)

Data for a PBEsol-optimized structure of KGaRh3.

The formation energy is 2.210 eV/atom. Its density of states at the Fermi level is 3.1 states/eV/cell.

a b c (Å): 4.587 4.587 4.587
angles (deg): 90.00 90.00 90.00
Space group Pm-3m (No. 221)
Unique sites:
K 0.000 0.000 0.000 x1
Ga 0.500 0.500 0.500 x1
Rh 0.000 0.000 0.500 x3

Record 18
## Te4Ir (SCAN)

Data for a PBEsol-optimized structure of Te4Ir.

The uncorrected formation energy comes out at 0.12 eV per atom. Its density of states at the Fermi level is 4.9 states/eV/cell.

a b c (Å): 8.761 8.761 3.526
angles (deg): 90.00 90.00 90.00
Space group I4/m (No. 87)
Unique sites:
Te 0.095 0.227 0.000 x8
Ir 0.000 0.000 0.500 x2

Record 19
## LaMg2In (SCAN)

Data for a PBEsol-optimized structure of LaMg2In.

The formation energy is -0.353 eV/atom. Its density of states at the Fermi level is 4.6 states/eV/cell.

a b c (Å): 7.411 7.411 7.411
angles (deg): 90.00 90.00 90.00
Space group F-43m (No. 216)
Unique sites:
La 0.000 0.000 0.000 x4
Mg 0.000 0.000 0.500 x4
Mg 0.250 0.250 0.750 x4
In 0.250 0.250 0.250 x4

Record 20
## CaYTe2 (SCAN)

Data for a PBEsol-optimized structure of CaYTe2.

The uncorrected formation energy comes out at -0.95 eV per atom. Its density of states at the Fermi level is 5.4 states/eV/cell.

a b c (Å): 4.4392 4.4392 27.5643
angles (deg): 90.00 90.00 120.00
Space group R-3m (No. 166, hexagonal axes)
Unique sites:
Ca 0.0000 0.0000 0.0000 x3
Y 0.0000 0.0000 0.5000 x3
Te 0.0000 0.0000 0.3975 x6

Record 21
## CdFeBi2Rh (SCAN)

Data for a PBEsol-optimized structure of CdFeBi2Rh.

The formation energy is 0.878 eV/atom. Its density of states at the Fermi level is 3.0 states/eV/cell.

a b c (Å): 4.815 4.815 4.841
angles (deg): 90.00 90.00 90.00
Space group P4/mmm (No. 123)
Unique sites:
Cd 0.000 0.000 0.000 x1
Fe 0.000 0.000 0.500 x1
Bi 0.000 0.500 0.500 x2
Rh 0.500 0.500 0.000 x1

Record 22
## ZrTaCu2 (SCAN)

Data for a PBEsol-optimized structure of ZrTaCu2.

The formation energy is 0.273 eV/atom. Its density of states at the Fermi level is 5.9 states/eV/cell.

a b c (Å): 9.318 2.764 5.022
angles (deg): 90.00 98.68 90.00
Space group C2/m (No. 12)
Unique sites:
Zr 0.000 0.000 0.000 x2
Ta 0.000 0.500 0.500 x2
Cu 0.246 0.000 0.721 x4

Record 23
## Hf2SiB (SCAN)

Data for a PBEsol-optimized structure of Hf2SiB.

The uncorrected formation energy comes out at -0.16 eV per atom. Its density of states at the Fermi level is 7.2 states/eV/cell.

a b c (Å): 6.674 6.674 5.786
angles (deg): 90.00 90.00 90.00
Space group I-42d (No. 122)
Unique sites:
Hf 0.218 0.250 0.125 x8
Si 0.000 0.000 0.500 x4
B 0.000 0.000 0.000 x4

Record 24
## Y2CdTc (SCAN)

Data for a PBEsol-optimized structure of Y2CdTc.

The formation energy is -0.238 eV/atom. Its density of states at the Fermi level is 3.4 states/eV/cell.

a b c (Å): 3.462 3.462 7.418
angles (deg): 90.00 90.00 90.00
Space group P4/mmm (No. 123)
Unique sites:
Y 0.000 0.000 0.216 x2
Cd 0.500 0.500 0.500 x1
Tc 0.500 0.500 0.000 x1

Record 25
## Lu2CuRu (SCAN)

Data for a PBEsol-optimized structure of Lu2CuRu.

The formation energy is -0.537 eV/atom. Its density of states at the Fermi level is 6.8 states/eV/cell.

a b c (Å): 6.598 6.598 6.598
angles (deg): 90.00 90.00 90.00
Space group Fm-3m (No. 225)
Unique sites:
Lu 0.250 0.250 0.250 x8
Cu 0.000 0.000 0.000 x4
Ru 0.000 0.000 0.500 x4

Record 26
## Zn2CoPt (SCAN)

Data for a PBEsol-optimized structure of Zn2CoPt.

The formation energy is -0.068 eV/atom. Its density of states at the Fermi level is 8.1 states/eV/cell.

a b c (Å): 2.6900 2.6900 25.4037
angles (deg): 90.00 90.00 120.00
Space group R3m (No. 160, hexagonal axes)
Unique sites:
Zn 0.0000 0.0000 0.0000 x3
Zn 0.0000 0.0000 0.2460 x3
Co 0.0000 0.0000 0.5014 x3
Pt 0.0000 0.0000 0.7530 x3

Record 27
## CoAg2PtC (SCAN)

Data for a PBEsol-optimized structure of CoAg2PtC.

The formation energy is 2.171 eV/atom. Its density of states at the Fermi level is 2.7 states/eV/cell.

a b c (Å): 5.010 5.010 4.497
angles (deg): 90.00 90.00 90.00
Space group P4/mmm (No. 123)
Unique sites:
Co 0.000 0.000 0.000 x1
Ag 0.000 0.500 0.500 x2
Pt 0.000 0.000 0.500 x1
C 0.500 0.500 0.000 x1

Record 28
## ZrCuRu2 (SCAN)

Data for a PBEsol-optimized structure of ZrCuRu2.

The formation energy is -0.024 eV/atom. Its density of states at the Fermi level is 2.6 states/eV/cell.

a b c (Å): 3.274 3.274 5.543
angles (deg): 90.00 90.00 90.00
Space group P4mm (No. 99)
Unique sites:
Zr 0.000 0.000 0.000 x1
Cu 0.500 0.500 0.264 x1
Ru 0.000 0.000 0.490 x1
Ru 0.500 0.500 0.734 x1

| no. | VASP energy (eV per atom) |
| --- | --- |
| 1 | -39.168 |
| 2 | -16.002 |
| 3 | -30.079 |
| 4 | -38.660 |
| 5 | -70.294 |
| 6 | -54.088 |
| 7 | -8.222 |
| 8 | -31.825 |
| 9 | -22.387 |
| 10 | -17.539 |
| 11 | -25.776 |
| 12 | -34.958 |
| 13 | -52.016 |
| 14 | -14.224 |
| 15 | -47.719 |
| 16 | -20.305 |
| 17 | -22.988 |
| 18 | -43.902 |
| 19 | -21.962 |
| 20 | -28.949 |
| 21 | -47.017 |
| 22 | -31.647 |
| 23 | -35.861 |
| 24 | -30.528 |
| 25 | -40.715 |
| 26 | -28.700 |
| 27 | -29.895 |
| 28 | -28.912 |